# 1
The following is a DFT calculation (PBEsol) of SrScP2S after structural relaxation.

Lattice parameters (Å, degrees): 4.5150 5.0420 5.0420 90.00 90.00 90.00
Closest atoms and distances in Å follow each position.
Positions (direct):
Sc  0.5000  0.0000  0.0000  2 S 2.26
S  0.0000  0.0000  0.0000  2 Sc 2.26, 4 P 2.52
P  0.0000  0.5000  0.0000  2 S 2.52
Sr  0.5000  0.5000  0.5000  8 P 3.38, 4 Sc 3.57
P  0.0000  0.0000  0.5000  2 S 2.52

ΔE_f (raw): -0.256 eV/atom
Total magnetization: 0.00 μB/cell
Raw total energy: -5.139 eV per atom



# 2
The following is a DFT calculation (PBEsol) of La3CdPt after structural relaxation.

Lattice parameters (Å, degrees): 5.7075 5.7075 5.7075 90.00 90.00 90.00
Closest atoms and distances in Å follow each position.
Positions (direct):
La  0.0000  0.0000  0.5000  2 Cd 2.85
Pt  0.5000  0.5000  0.5000  12 La 4.04
Cd  0.0000  0.0000  0.0000  6 La 2.85
La  0.0000  0.5000  0.0000  2 Cd 2.85
La  0.5000  0.0000  0.0000  2 Cd 2.85

Total magnetization: 0.00 μB/cell
Calculated formation energy: 0.709 eV per atom
Raw total energy: -4.131 eV per atom



# 3
The following is a DFT calculation (PBEsol) of Mg2ZnNi after structural relaxation.

Lattice parameters (Å, degrees): 3.0819 4.4192 5.2727 115.04 106.99 90.00
Closest atoms and distances in Å follow each position.
Positions (direct):
Mg  0.9903  0.9909  0.9807  4 Ni 2.70, 3 Zn 2.90-3.01, 4 Mg 2.93-3.02
Ni  0.5143  0.5150  0.0286  2 Zn 2.41, 2 Mg 2.64
Mg  0.7769  0.2763  0.5538  2 Ni 2.64, 4 Zn 2.74-2.75, 2 Mg 2.93-2.94
Zn  0.2185  0.7179  0.4369  2 Ni 2.41

Total magnetization: 0.00 μB/cell
Calculated formation energy: -0.125 eV per atom
Raw total energy: -2.918 eV per atom



# 4
The following is a DFT calculation (PBEsol) of VPH9O9 after structural relaxation.

Lattice parameters (Å, degrees): 6.3597 8.6890 12.8474 79.93 77.97 71.58
Closest atoms and distances in Å follow each position.
Positions (direct):
O  0.5855  0.9989  0.3214  1 V 1.60
H  0.1411  0.5132  0.5431  1 O 1.00
H  0.3473  0.8975  0.5028  1 O 1.01
O  0.2532  0.9974  0.9822  2 H 0.98-1.01
O  0.0693  0.3922  0.6514  1 P 1.54, 1 H 1.67
H  0.7664  0.5551  0.0026  1 O 1.02
H  0.6787  0.0233  0.9507  1 O 1.01
O  0.7468  0.0026  0.0178  2 H 0.98-1.01
O  0.4745  0.7562  0.8545  2 H 1.04
O  0.3472  0.9880  0.1715  1 P 1.55, 1 H 1.64
H  0.0669  0.6467  0.7483  1 O 1.01
H  0.9706  0.3356  0.0177  1 O 1.01
O  0.1910  0.0919  0.4866  2 H 1.00-1.01
O  0.5409  0.6326  0.3366  1 P 1.54, 1 H 1.68
V  0.2462  0.6247  0.3119  1 O 1.62
O  0.6528  0.0120  0.8285  1 P 1.55, 1 H 1.64
H  0.8876  0.8598  0.6180  1 O 1.06
V  0.3572  0.9999  0.8060  1 O 1.60
H  0.8589  0.4868  0.4569  1 O 1.00
O  0.7591  0.6760  0.9861  2 H 1.00-1.02
H  0.9015  0.9384  0.9932  1 O 0.98
O  0.7275  0.3553  0.8172  1 V 1.62, 1 H 1.65
H  0.3490  0.7120  0.9032  1 O 1.04
O  0.1999  0.5900  0.4850  2 H 0.99-1.00
H  0.2854  0.6434  0.5159  1 O 0.99
H  0.4991  0.2548  0.5631  1 O 1.01
O  0.1396  0.5398  0.7902  1 H 1.01
H  0.7146  0.3566  0.4841  1 O 0.99
H  0.5544  0.6829  0.6155  1 O 1.01
O  0.1224  0.8618  0.3351  1 P 1.54, 1 H 1.70
O  0.3580  0.3785  0.3256  2 H 1.01
H  0.2336  0.4449  0.9974  1 O 1.02
H  0.6527  0.1025  0.4972  1 O 1.01
O  0.4145  0.0011  0.6786  1 V 1.60
H  0.9331  0.3533  0.2517  1 O 1.01
H  0.3213  0.9767  0.0493  1 O 1.01
O  0.6420  0.6215  0.6744  2 H 1.01
O  0.2725  0.6447  0.1828  1 V 1.62, 1 H 1.65
O  0.8776  0.1382  0.6649  1 P 1.54, 1 H 1.70
H  0.4456  0.3171  0.3845  1 O 1.01
O  0.9459  0.8365  0.6926  1 H 1.06
H  0.4055  0.2658  0.0971  1 O 1.04
O  0.9436  0.0360  0.1737  1 P 1.53
O  0.4556  0.7836  0.5100  2 H 1.01
H  0.9263  0.8829  0.4475  1 O 1.01
H  0.7158  0.7210  0.0565  1 O 1.00
H  0.5009  0.7452  0.4369  1 O 1.01
P  0.1180  0.0070  0.2461  4 O 1.53-1.59
O  0.9307  0.6078  0.3486  1 P 1.54, 1 H 1.67
O  0.8001  0.4100  0.5150  2 H 0.99-1.00
P  0.2251  0.3815  0.7313  4 O 1.53-1.58
O  0.1927  0.6360  0.9902  2 H 1.01
H  0.0985  0.0616  0.0068  1 O 0.98
H  0.1124  0.1402  0.3820  1 O 1.06
P  0.7749  0.6185  0.2687  4 O 1.53-1.58
O  0.5255  0.2438  0.1455  2 H 1.04
V  0.6428  0.0001  0.1940  1 O 1.60
H  0.0737  0.1171  0.5525  1 O 1.01
O  0.5444  0.2164  0.4900  2 H 1.01
V  0.7538  0.3753  0.6881  1 O 1.62
H  0.6510  0.2880  0.0968  1 O 1.04
P  0.8820  0.9930  0.7539  4 O 1.53-1.59
O  0.8090  0.9081  0.5134  2 H 1.00-1.01
H  0.6915  0.8554  0.5103  1 O 1.00
H  0.4271  0.3284  0.2565  1 O 1.01
O  0.8604  0.4602  0.2098  1 H 1.01
H  0.2037  0.6531  0.0644  1 O 1.01
O  0.8073  0.3640  0.0098  2 H 1.01
O  0.0564  0.9640  0.8263  1 P 1.53
O  0.7697  0.7603  0.1786  1 P 1.53
H  0.5729  0.6716  0.7435  1 O 1.01
H  0.5945  0.7342  0.9029  1 O 1.04
O  0.0541  0.1635  0.3074  1 H 1.06
H  0.7963  0.3469  0.9356  1 O 1.01
H  0.3085  0.1446  0.4897  1 O 1.00
H  0.2842  0.2790  0.9435  1 O 1.00
O  0.2409  0.3240  0.0139  2 H 1.00-1.02
H  0.0294  0.6644  0.9823  1 O 1.01
O  0.2303  0.2397  0.8214  1 P 1.53
O  0.4591  0.3674  0.6634  1 P 1.54, 1 H 1.68

Total magnetization: 4.00 μB/cell
Raw total energy: -6.073 eV per atom



# 5
The following is a DFT calculation (PBEsol) of Li5Cu3 after structural relaxation.

Lattice parameters (Å, degrees): 4.6047 7.5323 7.5323 120.00 90.00 90.00
Closest atoms and distances in Å follow each position.
Positions (direct):
Cu  0.7500  0.5750  0.0000  9 Li 2.51-2.78, 2 Cu 2.56
Cu  0.2500  0.0000  0.4250  9 Li 2.51-2.78, 2 Cu 2.56
Li  0.2500  0.2412  0.2412  5 Cu 2.51-2.78
Li  0.7500  0.0000  0.2412  5 Cu 2.51-2.78
Li  0.2500  0.0000  0.7588  5 Cu 2.51-2.78
Li  0.0000  0.3333  0.6667  2 Li 2.30, 6 Cu 2.52
Cu  0.7500  0.0000  0.5750  9 Li 2.51-2.78, 2 Cu 2.56
Li  0.7500  0.7588  0.7588  5 Cu 2.51-2.78
Li  0.5000  0.6667  0.3333  2 Li 2.30, 6 Cu 2.52
Cu  0.2500  0.5750  0.5750  9 Li 2.51-2.78, 2 Cu 2.56
Li  0.5000  0.3333  0.6667  2 Li 2.30, 6 Cu 2.52
Li  0.2500  0.7588  0.0000  5 Cu 2.51-2.78
Li  0.0000  0.6667  0.3333  2 Li 2.30, 6 Cu 2.52
Cu  0.7500  0.4250  0.4250  9 Li 2.51-2.78, 2 Cu 2.56
Li  0.7500  0.2412  0.0000  5 Cu 2.51-2.78
Cu  0.2500  0.4250  0.0000  9 Li 2.51-2.78, 2 Cu 2.56

Total magnetization: 0.00 μB/cell
Calculated formation energy: 0.083 eV per atom
Raw total energy: -2.771 eV per atom



# 6
The following is a DFT calculation (PBEsol) of KRbP3 after structural relaxation.

Lattice parameters (Å, degrees): 5.4018 5.4018 5.4018 90.00 90.00 90.00
Closest atoms and distances in Å follow each position.
Positions (direct):
Rb  0.5000  0.5000  0.5000  12 P 3.82
P  0.5000  0.0000  0.0000  2 K 2.70
P  0.0000  0.5000  0.0000  2 K 2.70
P  0.0000  0.0000  0.5000  2 K 2.70
K  0.0000  0.0000  0.0000  6 P 2.70

Total magnetization: 0.25 μB/cell
Calculated formation energy: 1.356 eV per atom
Raw total energy: -2.550 eV per atom



# 7
The following is a DFT calculation (PBEsol) of PrDyAl4 after structural relaxation.

Lattice parameters (Å, degrees): 5.5865 5.5865 5.5865 60.00 60.00 60.00
Closest atoms and distances in Å follow each position.
Positions (direct):
Al  0.3751  0.8746  0.3751  6 Al 2.79-2.80
Al  0.8746  0.3751  0.3751  6 Al 2.79-2.80
Al  0.3751  0.3751  0.3751  6 Al 2.79-2.80
Dy  0.7500  0.7500  0.7500  12 Al 3.28, 4 Pr 3.42
Pr  0.0000  0.0000  0.0000  12 Al 3.28, 4 Dy 3.42
Al  0.3751  0.3751  0.8746  6 Al 2.79-2.80

Total magnetization: 0.00 μB/cell
Calculated formation energy: -0.504 eV per atom
Raw total energy: -4.925 eV per atom



# 8
The following is a DFT calculation (PBEsol) of YAl2Co after structural relaxation.

Lattice parameters (Å, degrees): 3.0955 3.0955 6.9488 90.00 90.00 90.00
Closest atoms and distances in Å follow each position.
Positions (direct):
Al  0.0000  0.0000  0.0471  1 Co 2.76, 4 Al 2.76
Y  0.5000  0.5000  0.7196  4 Co 2.91, 5 Al 2.99-3.16, 4 Y 3.10
Co  0.0000  0.0000  0.4441  4 Al 2.44
Al  0.5000  0.5000  0.2891  4 Co 2.44

Total magnetization: 0.24 μB/cell
Calculated formation energy: -0.295 eV per atom
Raw total energy: -5.981 eV per atom